Density functional theory data (GGA+U) for crystalline LaPaV2O8 at its relaxed geometry.

## Properties
volume = 13.23 A^3/atom
final energy = -102.2 eV per cell
density = 6276 kg/m3

The structure in POSCAR format:
```
LaPaV2O8
1.0
5.231 0.000 0.000
0.000 5.231 0.000
-2.616 -2.616 5.799
V O Pa La
2 8 1 1
Cartesian
0.000 2.616 2.900
2.616 2.616 0.000
1.480 -0.971 4.950
1.645 1.136 0.849
1.220 1.783 3.851
3.587 4.095 0.849
-1.480 0.971 4.950
0.832 3.835 1.948
-1.220 3.448 3.851
-0.832 1.396 1.948
0.000 0.000 0.000
2.616 0.000 2.900
```